{"formula": "Hf2ReTc", "functional": "PBE", "state": "optimized geometry", "lattice": [[0.501, -4.595, -0.012], [2.532, -2.057, 3.275], [-2.063, -2.558, 3.251]], "species": ["Hf", "Hf", "Re", "Tc"], "frac_coords": [[0.750, 0.750, 0.750], [0.250, 0.250, 0.250], [0.500, 0.500, 0.500], [0.000, 0.000, 0.000]], "e_form_kj_per_mol_atoms": -38.7, "spacegroup": "Fm-3m, No. 225", "m_tot_mub_per_cell": 0.00, "de_polymorph_ev_per_atom": 0.0019}

{"formula": "KLi2CaFe", "functional": "PBE", "state": "optimized geometry", "lattice": [[-0.495, 4.849, -1.357], [-1.478, 1.256, 5.026], [4.840, 0.834, 1.215]], "species": ["K", "Li", "Ca", "Li", "Fe"], "frac_coords": [[0.000, 0.000, 0.000], [0.000, 0.000, 0.500], [0.500, 0.500, 0.500], [0.500, 0.000, 0.000], [0.000, 0.500, 0.000]], "e_form_kj_per_mol_atoms": 95.5, "spacegroup": "P4/mmm, No. 123", "m_tot_mub_per_cell": 2.58}

{"formula": "Pm2NiSn3Pt4", "functional": "PBE", "state": "optimized geometry", "lattice": [[4.312, 0.000, 0.000], [0.000, 4.312, 0.000], [0.000, 0.000, 11.448]], "species": ["Pt", "Pt", "Sn", "Sn", "Pt", "Pm", "Pt", "Pm", "Sn", "Ni"], "frac_coords": [[0.000, 0.500, 0.365], [0.500, 0.000, 0.635], [0.000, 0.500, 0.137], [0.000, 0.000, 0.500], [0.000, 0.000, 0.000], [0.000, 0.500, 0.730], [0.500, 0.500, 0.000], [0.500, 0.000, 0.270], [0.500, 0.000, 0.863], [0.500, 0.500, 0.500]], "e_form_kj_per_mol_atoms": -70.4, "spacegroup": "P-4m2, No. 115", "m_tot_mub_per_cell": 0.00}

{"formula": "CuBi2Pb", "functional": "PBE", "state": "optimized geometry", "lattice": [[-0.914, 1.741, 5.982], [4.501, -3.996, 1.851], [6.608, 3.951, 3.173]], "species": ["Pb", "Pb", "Cu", "Bi", "Bi", "Bi", "Cu", "Bi"], "frac_coords": [[0.000, 0.000, 0.000], [0.750, 0.250, 0.500], [0.500, 0.500, 0.000], [0.189, 0.625, 0.250], [0.875, 0.811, 0.750], [0.375, 0.439, 0.750], [0.250, 0.750, 0.500], [0.561, 0.125, 0.250]], "e_form_kj_per_mol_atoms": 23.8, "spacegroup": "I-42d, No. 122", "m_tot_mub_per_cell": 0.00}

{"formula": "La3Tm2Sn4", "functional": "PBE", "state": "optimized geometry", "lattice": [[4.622, 0.000, 0.000], [-2.311, 6.766, -0.515], [0.000, -3.502, 9.344]], "species": ["La", "Tm", "Sn", "Tm", "Sn", "La", "La", "Sn", "Sn"], "frac_coords": [[0.380, 0.759, 0.302], [0.684, 0.368, 0.351], [0.927, 0.855, 0.585], [0.316, 0.632, 0.649], [0.073, 0.145, 0.415], [0.000, 0.000, 0.000], [0.620, 0.241, 0.698], [0.292, 0.584, 0.936], [0.708, 0.416, 0.064]], "e_form_kj_per_mol_atoms": -63.3, "spacegroup": "C2/m, No. 12", "m_tot_mub_per_cell": 0.00}

{"formula": "RbSb3Te3", "functional": "PBE", "state": "optimized geometry", "lattice": [[8.112, 0.000, 0.000], [4.056, 7.025, 0.000], [4.056, 2.342, 9.884]], "species": ["Te", "Te", "Sb", "Te", "Te", "Rb", "Sb", "Te", "Sb", "Sb", "Rb", "Te", "Sb", "Sb"], "frac_coords": [[0.606, 0.990, 0.257], [0.010, 0.853, 0.743], [0.504, 0.676, 0.640], [0.990, 0.147, 0.257], [0.147, 0.606, 0.257], [0.661, 0.661, 0.016], [0.324, 0.819, 0.360], [0.853, 0.394, 0.743], [0.496, 0.324, 0.360], [0.181, 0.504, 0.640], [0.339, 0.339, 0.984], [0.394, 0.010, 0.743], [0.819, 0.496, 0.360], [0.676, 0.181, 0.640]], "spacegroup": "R-3, No. 148", "formation_energy_uncorrected_mev_per_atom": -80, "m_tot_mub_per_cell": 0.00}

{"formula": "ZrTa2Cl", "functional": "PBE", "state": "optimized geometry", "lattice": [[-1.359, 3.828, 2.209], [-3.453, -2.362, 1.970], [2.131, -0.827, 2.744]], "species": ["Ta", "Cl", "Zr", "Ta"], "frac_coords": [[0.500, 0.500, 0.000], [0.000, 0.500, 0.500], [0.500, 0.000, 0.500], [0.000, 0.000, 0.000]], "spacegroup": "P4/mmm, No. 123", "formation_energy_uncorrected_mev_per_atom": 673, "m_tot_mub_per_cell": 0.00, "de_polymorph_ev_per_atom": 0.8724}

{"formula": "LiNdCdSn", "functional": "PBE", "state": "optimized geometry", "lattice": [[4.378, 0.000, 0.000], [0.000, 4.651, 0.000], [0.000, 0.000, 4.961]], "species": ["Cd", "Sn", "Li", "Nd"], "frac_coords": [[0.000, 0.000, 0.000], [0.000, 0.500, 0.500], [0.500, 0.500, 0.000], [0.500, 0.000, 0.500]], "e_form_kj_per_mol_atoms": -42.6, "spacegroup": "Pmmm, No. 47", "m_tot_mub_per_cell": 0.00, "de_polymorph_ev_per_atom": 0.0128}

{"formula": "BeRhSe2", "functional": "PBE", "state": "optimized geometry", "lattice": [[-2.526, -3.634, 0.485], [2.733, -1.468, 3.192], [-1.715, 1.479, 2.148]], "species": ["Rh", "Se", "Se", "Be"], "frac_coords": [[0.000, 0.500, 0.500], [0.000, 0.000, 0.000], [0.500, 0.500, 0.000], [0.500, 0.000, 0.500]], "spacegroup": "P4/mmm, No. 123", "formation_energy_uncorrected_mev_per_atom": 229, "m_tot_mub_per_cell": 0.00}

{"formula": "K3PmTh3Se8", "functional": "PBE", "state": "optimized geometry", "lattice": [[8.505, 0.000, 0.000], [-4.252, 7.363, -0.029], [0.000, -4.879, 7.897]], "species": ["K", "Se", "K", "Se", "Se", "Se", "K", "Th", "Se", "Pm", "Se", "Th", "Th", "Se", "Se"], "frac_coords": [[0.000, 0.000, 0.000], [0.266, 0.028, 0.290], [0.000, 0.500, 0.000], [0.762, 0.028, 0.290], [0.734, 0.972, 0.710], [0.739, 0.478, 0.716], [0.500, 0.500, 0.000], [0.500, 0.000, 0.500], [0.238, 0.476, 0.710], [0.000, 0.000, 0.500], [0.238, 0.972, 0.710], [0.000, 0.500, 0.500], [0.500, 0.500, 0.500], [0.261, 0.522, 0.284], [0.762, 0.524, 0.290]], "spacegroup": "R-3m, No. 166", "formation_energy_uncorrected_mev_per_atom": -1634, "m_tot_mub_per_cell": 0.00}

{"formula": "Mg2Zn2Ga", "functional": "PBE", "state": "optimized geometry", "lattice": [[-3.297, 0.536, 7.162], [-7.051, -1.738, -3.116], [0.541, -3.049, 0.477]], "species": ["Ga", "Ga", "Zn", "Mg", "Zn", "Mg", "Zn", "Mg", "Mg", "Zn"], "frac_coords": [[0.500, 0.500, 0.000], [0.000, 0.000, 0.000], [0.838, 0.338, 0.500], [0.863, 0.637, 0.000], [0.338, 0.162, 0.500], [0.637, 0.137, 0.000], [0.162, 0.662, 0.500], [0.363, 0.863, 0.000], [0.137, 0.363, 0.000], [0.662, 0.838, 0.500]], "e_form_kj_per_mol_atoms": 5.6, "spacegroup": "P4/mbm, No. 127", "m_tot_mub_per_cell": 0.00}

{"formula": "Cs3In2Au4", "functional": "PBE", "state": "optimized geometry", "lattice": [[4.868, 0.000, 0.000], [-2.434, 6.736, -0.567], [0.000, -2.646, 9.751]], "species": ["Cs", "Au", "Au", "In", "In", "Cs", "Au", "Cs", "Au"], "frac_coords": [[0.000, 0.000, 0.000], [0.079, 0.158, 0.634], [0.246, 0.492, 0.920], [0.314, 0.627, 0.225], [0.686, 0.373, 0.775], [0.625, 0.251, 0.376], [0.754, 0.508, 0.080], [0.375, 0.749, 0.624], [0.921, 0.842, 0.366]], "e_form_kj_per_mol_atoms": -25.4, "spacegroup": "C2/m, No. 12", "m_tot_mub_per_cell": 0.00}

{"formula": "As2Pb", "functional": "PBE", "state": "optimized geometry", "lattice": [[0.619, 0.779, 5.861], [-5.943, -0.123, -0.119], [2.742, -4.751, -2.292]], "species": ["Pb", "As", "Pb", "As", "As", "As"], "frac_coords": [[0.750, 0.750, 0.000], [0.869, 0.631, 0.500], [0.250, 0.250, 0.000], [0.369, 0.869, 0.238], [0.631, 0.131, 0.762], [0.131, 0.369, 0.500]], "e_form_kj_per_mol_atoms": 12.6, "spacegroup": "I4/mcm, No. 140", "m_tot_mub_per_cell": 0.00, "de_polymorph_ev_per_atom": 0.0786}

{"formula": "NdCoSi2", "functional": "PBE", "state": "optimized geometry", "lattice": [[4.116, 0.000, 0.000], [0.000, 3.886, -0.949], [0.000, 0.052, 8.648]], "species": ["Si", "Si", "Co", "Nd", "Si", "Co", "Si", "Nd"], "frac_coords": [[0.500, 0.708, 0.417], [0.500, 0.292, 0.583], [0.500, 0.428, 0.855], [0.000, 0.145, 0.289], [0.500, 0.000, 0.000], [0.500, 0.572, 0.145], [0.000, 0.500, 0.000], [0.000, 0.855, 0.711]], "spacegroup": "Cmmm, No. 65", "formation_energy_uncorrected_mev_per_atom": -727, "m_tot_mub_per_cell": 0.00}

{"formula": "BaPPdS2", "functional": "PBE", "state": "optimized geometry", "lattice": [[5.929, 0.000, 0.000], [0.000, 5.929, 0.000], [0.000, 0.000, 6.278]], "species": ["S", "S", "Pd", "P", "Ba"], "frac_coords": [[0.500, 0.000, 0.000], [0.000, 0.500, 0.000], [0.500, 0.500, 0.500], [0.000, 0.000, 0.500], [0.000, 0.000, 0.000]], "spacegroup": "P4/mmm, No. 123", "formation_energy_uncorrected_mev_per_atom": 1131, "m_tot_mub_per_cell": 5.10, "de_polymorph_ev_per_atom": 1.6859}

{"formula": "Pa2IrPbO8", "functional": "PBE", "state": "optimized geometry", "lattice": [[-2.053, 4.569, -0.030], [-2.723, -1.080, 4.059], [5.285, 2.401, 4.184]], "species": ["O", "O", "O", "Ir", "Pa", "Pb", "O", "O", "O", "O", "O", "Pa"], "frac_coords": [[0.671, 0.672, 0.500], [0.704, 0.705, 0.000], [0.803, 0.198, 0.206], [0.000, 0.000, 0.000], [0.500, 0.500, 0.757], [0.000, 0.000, 0.500], [0.296, 0.295, 0.000], [0.197, 0.802, 0.794], [0.803, 0.198, 0.794], [0.329, 0.328, 0.500], [0.197, 0.802, 0.206], [0.500, 0.500, 0.243]], "spacegroup": "Cmmm, No. 65", "formation_energy_uncorrected_mev_per_atom": -2341, "m_tot_mub_per_cell": 0.00}

{"formula": "Tb6Bi2SbTe3", "functional": "PBE", "state": "optimized geometry", "lattice": [[-1.246, 4.157, 0.853], [-7.059, -1.048, -5.199], [-2.609, -4.824, 8.231]], "species": ["Tb", "Bi", "Bi", "Te", "Tb", "Te", "Tb", "Tb", "Te", "Sb", "Tb", "Tb"], "frac_coords": [[0.334, 0.417, 0.667], [0.833, 0.666, 0.667], [0.167, 0.334, 0.333], [0.832, 0.166, 0.664], [0.337, 0.918, 0.674], [0.168, 0.834, 0.336], [0.666, 0.583, 0.333], [0.663, 0.082, 0.326], [0.500, 0.500, 0.000], [0.500, 0.000, 0.000], [0.000, 0.759, 0.001], [0.000, 0.241, 0.999]], "spacegroup": "C2/m, No. 12", "formation_energy_uncorrected_mev_per_atom": -1168, "m_tot_mub_per_cell": 0.00}

{"formula": "YFe2I8", "functional": "PBE", "state": "optimized geometry", "lattice": [[7.904, 0.365, -1.397], [-1.917, 7.676, -1.397], [-1.214, -1.631, 10.038]], "species": ["Fe", "I", "I", "I", "Y", "I", "I", "I", "Fe", "I", "I"], "frac_coords": [[0.022, 0.022, 0.647], [0.693, 0.693, 0.793], [0.118, 0.773, 0.195], [0.767, 0.767, 0.423], [0.000, 0.000, 0.000], [0.307, 0.307, 0.207], [0.233, 0.233, 0.577], [0.227, 0.882, 0.805], [0.978, 0.978, 0.353], [0.882, 0.227, 0.805], [0.773, 0.118, 0.195]], "spacegroup": "C2/m, No. 12", "formation_energy_uncorrected_mev_per_atom": -585, "m_tot_mub_per_cell": 8.95}

{"formula": "AcYTmTh", "functional": "PBE", "state": "optimized geometry", "lattice": [[5.802, 0.000, 0.000], [2.901, 5.025, 0.000], [2.901, 1.675, 4.737]], "species": ["Y", "Th", "Ac", "Tm"], "frac_coords": [[0.750, 0.750, 0.750], [0.000, 0.000, 0.000], [0.500, 0.500, 0.500], [0.250, 0.250, 0.250]], "e_form_kj_per_mol_atoms": 12.5, "spacegroup": "F-43m, No. 216", "m_tot_mub_per_cell": 0.00}

{"formula": "Sm2In5Cu3", "functional": "PBE", "state": "optimized geometry", "lattice": [[-4.474, 0.317, 0.570], [-1.012, -5.206, -5.041], [2.780, -9.336, 9.084]], "species": ["Cu", "Cu", "Cu", "Sm", "In", "In", "Sm", "Cu", "Cu", "In", "In", "Sm", "In", "In", "In", "Sm", "In", "In", "Cu", "In"], "frac_coords": [[0.608, 0.525, 0.215], [0.392, 0.025, 0.785], [0.953, 0.475, 0.906], [0.520, 0.260, 0.041], [0.710, 0.014, 0.419], [0.402, 0.404, 0.804], [0.173, 0.720, 0.347], [0.227, 0.215, 0.454], [0.047, 0.975, 0.094], [0.598, 0.904, 0.196], [0.052, 0.585, 0.104], [0.480, 0.760, 0.959], [0.878, 0.745, 0.755], [0.295, 0.921, 0.589], [0.705, 0.421, 0.411], [0.827, 0.220, 0.653], [0.290, 0.514, 0.581], [0.122, 0.245, 0.245], [0.773, 0.715, 0.546], [0.948, 0.085, 0.896]], "e_form_kj_per_mol_atoms": -28.9, "spacegroup": "Cmc2_1, No. 36", "m_tot_mub_per_cell": 0.00}

{"formula": "LiVSe3", "functional": "PBE", "state": "optimized geometry", "lattice": [[-6.028, 2.807, -0.683], [-4.987, -1.253, 4.271], [-2.247, 4.629, 4.266]], "species": ["Se", "Se", "Li", "Se", "Se", "V", "V", "Li", "Se", "Se"], "frac_coords": [[0.926, 0.554, 0.208], [0.054, 0.426, 0.708], [0.994, 0.994, 0.994], [0.426, 0.708, 0.054], [0.208, 0.926, 0.554], [0.299, 0.299, 0.299], [0.799, 0.799, 0.799], [0.494, 0.494, 0.494], [0.708, 0.054, 0.426], [0.554, 0.208, 0.926]], "spacegroup": "R3c, No. 161", "formation_energy_uncorrected_mev_per_atom": -629, "m_tot_mub_per_cell": 0.00, "de_polymorph_ev_per_atom": 0.1141}

{"formula": "Nd3Dy6Y2", "functional": "PBE", "state": "optimized geometry", "lattice": [[-4.671, 0.517, -3.271], [0.435, -2.849, -6.082], [-8.415, -8.459, 0.669]], "species": ["Y", "Dy", "Dy", "Nd", "Y", "Nd", "Dy", "Nd", "Dy", "Dy", "Dy"], "frac_coords": [[0.867, 0.267, 0.500], [0.548, 0.300, 0.302], [0.710, 0.000, 0.790], [0.706, 0.587, 0.000], [0.133, 0.733, 0.500], [0.000, 0.000, 0.000], [0.290, 0.000, 0.210], [0.294, 0.413, 0.000], [0.152, 0.300, 0.698], [0.848, 0.700, 0.302], [0.452, 0.700, 0.698]], "e_form_kj_per_mol_atoms": 15.3, "spacegroup": "Cmmm, No. 65", "m_tot_mub_per_cell": 0.00, "de_polymorph_ev_per_atom": 0.0000}

{"formula": "BaPb3Br", "functional": "PBE", "state": "optimized geometry", "lattice": [[6.506, 0.000, 0.000], [0.000, 6.506, 0.000], [0.000, 0.000, 6.506]], "species": ["Pb", "Pb", "Ba", "Br", "Pb"], "frac_coords": [[0.000, 0.500, 0.000], [0.500, 0.000, 0.000], [0.000, 0.000, 0.000], [0.500, 0.500, 0.500], [0.000, 0.000, 0.500]], "spacegroup": "Pm-3m, No. 221", "formation_energy_uncorrected_mev_per_atom": 716, "m_tot_mub_per_cell": 2.17, "de_polymorph_ev_per_atom": 0.7415}

{"formula": "CeSm2Th5", "functional": "PBE", "state": "optimized geometry", "lattice": [[-4.069, -3.373, -1.568], [1.139, -4.105, 5.878], [-4.764, 4.014, 3.727]], "species": ["Ce", "Sm", "Sm", "Th", "Th", "Th", "Th", "Th"], "frac_coords": [[0.000, 0.000, 0.000], [0.500, 0.000, 0.500], [0.500, 0.500, 0.000], [0.500, 0.000, 0.000], [0.000, 0.278, 0.722], [0.000, 0.278, 0.278], [0.000, 0.722, 0.722], [0.000, 0.722, 0.278]], "e_form_kj_per_mol_atoms": 64.0, "spacegroup": "P4/mmm, No. 123", "m_tot_mub_per_cell": 0.00}